# 1
! ZrSc2 | Alexandria via LeMat-Bulk | PBEsol | optimized geometry; values from VASP
! Density of states at the Fermi level = 9.2 states/eV per cell
! Space-group type = No. 15
! DFT formation energy = -11.9 meV/atom
! DFT total energy = -7.4452 eV/atom
&SYSTEM
  ibrav = 0, nat = 6, ntyp = 2
/
ATOMIC_SPECIES
Zr 91.22 Zr.upf
Sc 44.96 Sc.upf
ATOMIC_POSITIONS angstrom
Zr 2.457 2.390 3.770
Zr 4.047 -2.390 1.257
Sc 2.400 0.494 1.304
Sc 0.810 -0.494 3.817
Sc 5.694 0.494 1.210
Sc 4.104 -0.494 3.723
CELL_PARAMETERS angstrom
4.842 -2.815 0.000
4.842 2.815 0.000
-3.180 0.000 5.027

---

# 2
! Zr3Sc | Alexandria via LeMat-Bulk | PBEsol | optimized geometry; values from VASP
! Density of states at the Fermi level = 4.0 states/eV per cell
! Space-group type = No. 25
! DFT formation energy = -9.8 meV/atom
! Energy above the most stable polymorph in this dataset = 0 meV/atom
! DFT total energy = -8.4784 eV/atom
&SYSTEM
  ibrav = 0, nat = 4, ntyp = 2
/
ATOMIC_SPECIES
Zr 91.22 Zr.upf
Sc 44.96 Sc.upf
ATOMIC_POSITIONS angstrom
Zr 0.000 0.000 0.000
Zr 0.000 2.534 1.832
Zr 1.596 2.534 4.627
Sc 1.596 0.000 2.799
CELL_PARAMETERS angstrom
3.192 0.000 0.000
0.000 5.068 0.000
0.000 0.000 5.556

---

# 3
! Zr3Sc | Alexandria via LeMat-Bulk | PBEsol | optimized geometry; values from VASP
! Density of states at the Fermi level = 5.7 states/eV per cell
! Space-group type = No. 221
! DFT formation energy = 28.6 meV/atom
! Energy above the most stable polymorph in this dataset = 38 meV/atom
! DFT total energy = -8.4400 eV/atom
&SYSTEM
  ibrav = 0, nat = 4, ntyp = 2
/
ATOMIC_SPECIES
Zr 91.22 Zr.upf
Sc 44.96 Sc.upf
ATOMIC_POSITIONS angstrom
Zr 0.000 0.000 2.230
Zr 0.000 2.230 0.000
Zr 2.230 0.000 0.000
Sc 2.230 2.230 2.230
CELL_PARAMETERS angstrom
4.461 0.000 0.000
0.000 4.461 0.000
0.000 0.000 4.461